Crystalline K2OsAu at its relaxed geometry, computed with GGA-PBE.

## Properties
Calculated volume (Å³ per atom): 21.4
Space-group type: R-3m
Formation energy from the elements (eV/atom): 0.9056
Relative energy among the computed polymorphs (eV/atom): 0.213
Raw total energy (eV/atom): -3.27

a b c (Å): 11.3750 11.3750 11.3750
angles (deg): 14.97 14.97 14.97
Each line ends with the local moment (μB).
Fractional positions:
Os  0.2500  0.2500  0.2500  0.26
Au  0.7500  0.7500  0.7500  0.07
K  0.5012  0.5012  0.5012  0.01
K  0.9988  0.9988  0.9988  0.01